Record 1
Below is crystalline Pa2CrAu at its relaxed geometry, with properties calculated at the PBE level.

Cell and atoms, written as CIF:
```
data_Pa2CrAu
_chemical_formula_sum 'Pa6 Cr3 Au3'
_cell_length_a 3.0563
_cell_length_b 3.0563
_cell_length_c 31.1059
_cell_angle_alpha 90.00
_cell_angle_beta 90.00
_cell_angle_gamma 120.00
_space_group_name_H-M_alt 'R -3 m'
_space_group_IT_number 166
_space_group_name_Hall '-R 3 2"'
loop_
_atom_site_label
_atom_site_fract_x
_atom_site_fract_y
_atom_site_fract_z
_atom_site_occupancy
Pa1 0.0000 0.0000 0.0968 1
Cr1 0.0000 0.0000 0.5000 1
Au1 0.0000 0.0000 0.0000 1
```

Results
* energy: -7.586 eV per atom
* formation energy from the elements: 387 meV/atom

***

Record 2
Below is crystalline YTa2ReO at its relaxed geometry, with properties calculated at the PBE level.

Cell and atoms, written as CIF:
```
data_YTa2ReO
_chemical_formula_sum 'Y1 Ta2 Re1 O1'
_cell_length_a 4.768
_cell_length_b 4.768
_cell_length_c 5.690
_cell_angle_alpha 90.00
_cell_angle_beta 90.00
_cell_angle_gamma 90.00
_space_group_name_H-M_alt 'P 4/m m m'
_space_group_IT_number 123
_space_group_name_Hall '-P 4 2'
loop_
_atom_site_label
_atom_site_fract_x
_atom_site_fract_y
_atom_site_fract_z
_atom_site_occupancy
Y1 0.000 0.000 0.000 1
Ta1 0.000 0.500 0.500 1
Re1 0.000 0.000 0.500 1
O1 0.500 0.500 0.000 1
```

Results
* energy: -8.311 eV per atom

***

Record 3
Below is crystalline Ba3Se2Cl2 at its relaxed geometry, with properties calculated at the PBE level.

Cell and atoms, written as CIF:
```
data_Ba3Se2Cl2
_chemical_formula_sum 'Ba6 Se4 Cl4'
_cell_length_a 15.716
_cell_length_b 4.682
_cell_length_c 8.315
_cell_angle_alpha 90.00
_cell_angle_beta 107.49
_cell_angle_gamma 90.00
_space_group_name_H-M_alt 'C 1 2/m 1'
_space_group_IT_number 12
_space_group_name_Hall '-C 2y'
loop_
_atom_site_label
_atom_site_fract_x
_atom_site_fract_y
_atom_site_fract_z
_atom_site_occupancy
Ba1 0.000 0.000 0.000 1
Ba2 0.221 0.000 0.747 1
Se1 0.121 0.500 0.894 1
Cl1 0.161 0.000 0.344 1
```

Results
* energy: -4.548 eV per atom

***

Record 4
Below is crystalline ZrV2Ga2 at its relaxed geometry, with properties calculated at the PBE level.

Cell and atoms, written as CIF:
```
data_ZrV2Ga2
_chemical_formula_sum 'Zr2 V4 Ga4'
_cell_length_a 3.691
_cell_length_b 3.691
_cell_length_c 11.943
_cell_angle_alpha 90.00
_cell_angle_beta 90.00
_cell_angle_gamma 90.00
_space_group_name_H-M_alt 'I 4/m m m'
_space_group_IT_number 139
_space_group_name_Hall '-I 4 2'
loop_
_atom_site_label
_atom_site_fract_x
_atom_site_fract_y
_atom_site_fract_z
_atom_site_occupancy
Zr1 0.000 0.000 0.000 1
V1 0.000 0.500 0.250 1
Ga1 0.000 0.000 0.399 1
```

Results
* energy: -6.887 eV per atom
* formation energy from the elements: -319 meV/atom

***

Record 5
Below is crystalline SmGa2Rh2 at its relaxed geometry, with properties calculated at the PBE level.

Cell and atoms, written as CIF:
```
data_SmGa2Rh2
_chemical_formula_sum 'Sm2 Ga4 Rh4'
_cell_length_a 4.271
_cell_length_b 4.271
_cell_length_c 10.081
_cell_angle_alpha 90.00
_cell_angle_beta 90.00
_cell_angle_gamma 90.00
_space_group_name_H-M_alt 'I 4/m m m'
_space_group_IT_number 139
_space_group_name_Hall '-I 4 2'
loop_
_atom_site_label
_atom_site_fract_x
_atom_site_fract_y
_atom_site_fract_z
_atom_site_occupancy
Sm1 0.000 0.000 0.000 1
Ga1 0.000 0.000 0.374 1
Rh1 0.000 0.500 0.250 1
```

Results
* energy: -5.906 eV per atom
* formation energy from the elements: -811 meV/atom

***

Record 6
Below is crystalline LaInBr2 at its relaxed geometry, with properties calculated at the PBE level.

Cell and atoms, written as CIF:
```
data_LaInBr2
_chemical_formula_sum 'La3 In3 Br6'
_cell_length_a 3.8304
_cell_length_b 3.8304
_cell_length_c 32.6222
_cell_angle_alpha 90.00
_cell_angle_beta 90.00
_cell_angle_gamma 120.00
_space_group_name_H-M_alt 'R -3 m'
_space_group_IT_number 166
_space_group_name_Hall '-R 3 2"'
loop_
_atom_site_label
_atom_site_fract_x
_atom_site_fract_y
_atom_site_fract_z
_atom_site_occupancy
La1 0.0000 0.0000 0.0000 1
In1 0.0000 0.0000 0.5000 1
Br1 0.0000 0.0000 0.3981 1
```

Results
* energy: -3.874 eV per atom

***

Record 7
Below is crystalline NiIr2Br at its relaxed geometry, with properties calculated at the PBE level.

Cell and atoms, written as CIF:
```
data_NiIr2Br
_chemical_formula_sum 'Ni3 Ir6 Br3'
_cell_length_a 2.8315
_cell_length_b 2.8315
_cell_length_c 27.7629
_cell_angle_alpha 90.00
_cell_angle_beta 90.00
_cell_angle_gamma 120.00
_space_group_name_H-M_alt 'R 3 m'
_space_group_IT_number 160
_space_group_name_Hall 'R 3 -2"'
loop_
_atom_site_label
_atom_site_fract_x
_atom_site_fract_y
_atom_site_fract_z
_atom_site_occupancy
Ni1 0.0000 0.0000 0.0000 1
Ir1 0.0000 0.0000 0.2631 1
Ir2 0.0000 0.0000 0.5193 1
Br1 0.0000 0.0000 0.7375 1
```

Results
* energy: -5.728 eV per atom

***

Record 8
Below is crystalline TbSm3Ga2 at its relaxed geometry, with properties calculated at the PBE level.

Cell and atoms, written as CIF:
```
data_TbSm3Ga2
_chemical_formula_sum 'Tb2 Sm6 Ga4'
_cell_length_a 5.088
_cell_length_b 9.606
_cell_length_c 6.623
_cell_angle_alpha 90.00
_cell_angle_beta 90.00
_cell_angle_gamma 90.00
_space_group_name_H-M_alt 'P m c 21'
_space_group_IT_number 26
_space_group_name_Hall 'P 2c -2'
loop_
_atom_site_label
_atom_site_fract_x
_atom_site_fract_y
_atom_site_fract_z
_atom_site_occupancy
Tb1 0.000 0.052 0.000 1
Sm1 0.000 0.325 0.660 1
Sm2 0.500 0.170 0.295 1
Sm3 0.500 0.451 0.954 1
Ga1 0.000 0.353 0.187 1
Ga2 0.500 0.147 0.771 1
```

Results
* energy: -4.547 eV per atom
* formation energy from the elements: -407 meV/atom

***

Record 9
Below is crystalline CaNiI2 at its relaxed geometry, with properties calculated at the PBE level.

Cell and atoms, written as CIF:
```
data_CaNiI2
_chemical_formula_sum 'Ca3 Ni3 I6'
_cell_length_a 4.0884
_cell_length_b 4.0884
_cell_length_c 27.3560
_cell_angle_alpha 90.00
_cell_angle_beta 90.00
_cell_angle_gamma 120.00
_space_group_name_H-M_alt 'R -3 m'
_space_group_IT_number 166
_space_group_name_Hall '-R 3 2"'
loop_
_atom_site_label
_atom_site_fract_x
_atom_site_fract_y
_atom_site_fract_z
_atom_site_occupancy
Ca1 0.0000 0.0000 0.0000 1
Ni1 0.0000 0.0000 0.5000 1
I1 0.0000 0.0000 0.1128 1
```

Results
* energy: -2.899 eV per atom

***

Record 10
Below is crystalline YGaSN2 at its relaxed geometry, with properties calculated at the PBE level.

Cell and atoms, written as CIF:
```
data_YGaSN2
_chemical_formula_sum 'Y1 Ga1 S1 N2'
_cell_length_a 3.890
_cell_length_b 3.890
_cell_length_c 4.992
_cell_angle_alpha 90.00
_cell_angle_beta 90.00
_cell_angle_gamma 90.00
_space_group_name_H-M_alt 'P 4/m m m'
_space_group_IT_number 123
_space_group_name_Hall '-P 4 2'
loop_
_atom_site_label
_atom_site_fract_x
_atom_site_fract_y
_atom_site_fract_z
_atom_site_occupancy
Y1 0.000 0.000 0.000 1
Ga1 0.500 0.500 0.500 1
S1 0.500 0.500 0.000 1
N1 0.000 0.500 0.500 1
```

Results
* energy: -6.021 eV per atom

***

Record 11
Below is crystalline BaNaTa at its relaxed geometry, with properties calculated at the PBE level.

Cell and atoms, written as CIF:
```
data_BaNaTa
_chemical_formula_sum 'Ba2 Na2 Ta2'
_cell_length_a 5.8921
_cell_length_b 5.8921
_cell_length_c 6.8793
_cell_angle_alpha 90.00
_cell_angle_beta 90.00
_cell_angle_gamma 120.00
_space_group_name_H-M_alt 'P 63/m m c'
_space_group_IT_number 194
_space_group_name_Hall '-P 6c 2c'
loop_
_atom_site_label
_atom_site_fract_x
_atom_site_fract_y
_atom_site_fract_z
_atom_site_occupancy
Ba1 0.3333 0.6667 0.2500 1
Na1 0.0000 0.0000 0.0000 1
Ta1 0.3333 0.6667 0.7500 1
```

Results
* energy: -3.601 eV per atom
* formation energy from the elements: 1431 meV/atom

***

Record 12
Below is crystalline Pr2Er8Sc3 at its relaxed geometry, with properties calculated at the PBE level.

Cell and atoms, written as CIF:
```
data_Pr2Er8Sc3
_chemical_formula_sum 'Pr2 Er8 Sc3'
_cell_length_a 6.034
_cell_length_b 6.048
_cell_length_c 10.998
_cell_angle_alpha 89.97
_cell_angle_beta 79.49
_cell_angle_gamma 80.49
_space_group_name_H-M_alt 'P -1'
_space_group_IT_number 2
_space_group_name_Hall '-P 1'
loop_
_atom_site_label
_atom_site_fract_x
_atom_site_fract_y
_atom_site_fract_z
_atom_site_occupancy
Pr1 0.117 0.231 0.039 1
Er1 0.041 0.083 0.353 1
Er2 0.193 0.378 0.719 1
Er3 0.346 0.692 0.124 1
Er4 0.424 0.839 0.798 1
Sc1 0.273 0.539 0.427 1
Sc2 0.500 0.000 0.500 1
```

Results
* energy: -4.955 eV per atom
* formation energy from the elements: 49 meV/atom

***

no.,density (Mg/m³)
1,14.08
2,8.38
3,3.65
4,6.79
5,8.95
6,4.97
7,13.52
8,7.69
9,4.44
10,4.81
11,5.48
12,7.49